This record from Alexandria via LeMat-Bulk describes a relaxed Tm4Cr6O19 crystal. The functional is PBE+U.

a = 8.773 Å, b = 8.773 Å, c = 8.773 Å
α = 90.00°, β = 90.00°, γ = 90.00°
Space group I23 (No. 197)
Symmetry-distinct sites (fractional):
Tm (0.148, 0.148, 0.852)
Cr (0.000, 0.340, 0.500)
O (0.000, 0.000, 0.000)
O (0.000, 0.000, 0.345)
O (0.030, 0.323, 0.711)

This record from Alexandria via LeMat-Bulk describes a relaxed Tm3CrO6 crystal. The functional is PBE+U.

a = 9.2766 Å, b = 9.2766 Å, c = 10.6634 Å
α = 90.00°, β = 90.00°, γ = 120.00°
Space group R-3 (No. 148, hexagonal axes)
Symmetry-distinct sites (fractional):
Tm (0.0424, 0.7753, 0.2032)
Cr (0.0000, 0.0000, 0.0000)
Cr (0.0000, 0.0000, 0.5000)
O (0.0277, 0.8214, 0.4030)
O (0.0280, 0.8430, 0.8830)

Values from the calculation:
The offset from the most stable computed form comes out at 0.0 meV/atom.

This record from Alexandria via LeMat-Bulk describes a relaxed Tm6CrO12 crystal. The functional is PBE+U.

a = 9.5808 Å, b = 9.5808 Å, c = 9.1892 Å
α = 90.00°, β = 90.00°, γ = 120.00°
Space group R-3 (No. 148, hexagonal axes)
Symmetry-distinct sites (fractional):
Tm (0.0441, 0.2570, 0.1441)
Cr (0.0000, 0.0000, 0.5000)
O (0.0332, 0.2237, 0.9008)
O (0.0392, 0.1812, 0.3887)

Number 1: energy -7.57 eV per atom, spin magnetization 10.00 μB per formula unit. Number 2: energy -8.33 eV per atom, spin magnetization 3.00 μB per formula unit. Number 3: energy -8.02 eV per atom, spin magnetization 0.00 μB per formula unit.